[1]
La12TbDy7: optimized geometry, PBE.

The structure in extended XYZ format:
```
20
Lattice="-6.082 5.929 -2.564 -1.029 -4.290 -7.699 -6.435 -4.968 3.555" Properties=species:S:1:pos:R:3 pbc="T T T"
Dy -10.614 -1.214 -6.810
Tb 0.000 0.000 0.000
La -10.085 0.355 -1.681
La -8.262 0.905 -4.792
La -6.946 0.594 -0.956
La -4.483 -0.468 -5.404
La -5.700 2.417 -3.534
Dy -6.773 -1.664 -3.354
La -6.592 -2.604 0.760
La -7.847 -5.746 -3.174
Dy -10.292 -4.604 -5.778
Dy -3.255 1.275 -0.930
La -9.064 -2.861 -1.304
Dy -1.629 -1.081 -3.043
La -5.285 -4.233 -1.917
La -6.954 -0.724 -7.469
La -3.461 -3.684 -5.027
Dy -11.917 -2.247 -3.665
Dy -2.933 -2.115 0.102
La -6.600 -3.922 -5.752
```

Summary:
The volume is 699 Å³/cell. The calculation puts the formation energy at 4.46 kcal/mol of atoms.

---

[2]
Zr4BeMo: optimized geometry, PBE.

The structure in extended XYZ format:
```
6
Lattice="-1.536 -4.712 2.613 1.255 -0.740 5.410 -4.058 0.132 3.860" Properties=species:S:1:pos:R:3 pbc="T T T"
Zr -3.354 -2.959 4.707
Zr -1.941 -0.947 6.123
Mo 0.000 0.000 0.000
Be -1.085 -1.330 2.971
Zr -2.719 -3.333 7.446
Zr -0.664 -3.400 5.491
```

Summary:
The volume is 124 Å³/cell. The calculation puts the formation energy at 18.19 kcal/mol of atoms.

---

[3]
Zr2SbCl: optimized geometry, PBE.

The structure in extended XYZ format:
```
4
Lattice="-2.775 -3.573 -2.285 -1.270 -4.215 2.512 -4.809 -0.760 1.407" Properties=species:S:1:pos:R:3 pbc="T T T"
Cl -4.427 -4.274 0.817
Zr -2.214 -2.137 0.409
Zr 0.000 0.000 0.000
Sb -6.641 -6.411 1.226
```

Summary:
The volume is 92 Å³/cell. As for the uncorrected formation energy: 0.33 eV per formula unit.

---

[4]
Li5PdAu4: optimized geometry, PBE.

The structure in extended XYZ format:
```
10
Lattice="-1.906 2.596 0.064 -0.607 -0.523 3.121 11.251 8.172 3.557" Properties=species:S:1:pos:R:3 pbc="T T T"
Li -0.186 1.814 1.931
Li 2.083 3.462 2.648
Au 6.767 4.915 2.139
Li 8.924 8.431 4.811
Pd 0.000 0.000 0.000
Au 4.484 3.257 1.418
Au 9.046 6.570 2.860
Li 4.369 5.123 3.371
Au 2.205 1.602 0.697
Li 6.655 6.783 4.094
```

Summary:
The volume is 149 Å³/cell. The calculation puts the formation energy at -12.02 kcal/mol of atoms.

---

[5]
Hf3TiGa: optimized geometry, PBE.

The structure in extended XYZ format:
```
10
Lattice="4.820 0.000 0.000 0.000 7.229 -0.004 0.000 -3.616 6.260" Properties=species:S:1:pos:R:3 pbc="T T T"
Ti 0.000 0.000 0.000
Ti 2.410 0.000 0.000
Hf 3.615 -1.466 5.018
Hf 1.205 5.079 1.238
Hf 3.615 1.459 5.020
Ga 1.205 -0.004 4.174
Hf 3.615 -0.006 2.484
Hf 1.205 3.619 3.772
Hf 1.205 2.154 1.236
Ga 3.615 3.618 2.082
```

Summary:
The volume is 218 Å³/cell. The calculation puts the formation energy at 10.42 kcal/mol of atoms.

---

[6]
CuICl2: optimized geometry, PBE.

The structure in extended XYZ format:
```
8
Lattice="6.305 0.000 0.000 1.072 6.449 0.000 0.712 0.552 7.039" Properties=species:S:1:pos:R:3 pbc="T T T"
Cl 4.491 3.393 2.515
I 6.982 6.459 3.262
Cu 0.767 0.909 5.414
Cl 2.808 5.694 6.742
I 6.530 4.170 1.145
Cl 2.188 2.364 4.524
Cu 4.414 1.867 4.226
Cl 5.136 1.585 6.319
```

Summary:
The volume is 286 Å³/cell. As for the uncorrected formation energy: -1.24 eV per formula unit.

---

[7]
Ba2PmZnTe5: optimized geometry, PBE.

The structure in extended XYZ format:
```
18
Lattice="-1.519 -0.093 4.324 5.430 -8.837 -0.713 11.641 6.812 4.238" Properties=species:S:1:pos:R:3 pbc="T T T"
Te 11.099 2.432 6.382
Pm 8.096 -1.822 5.235
Te 9.712 -4.565 5.744
Ba 4.991 0.063 1.755
Pm 2.111 -3.424 0.668
Zn 10.669 5.182 6.291
Te 13.602 -3.632 4.701
Te 0.761 -0.525 0.256
Te 3.100 -2.421 3.467
Te 2.372 1.760 3.302
Zn 9.106 -4.830 3.095
Te 6.584 0.840 4.762
Te 7.122 -2.989 2.438
Ba 12.425 -1.091 6.772
Ba 9.183 2.595 3.283
Te 10.626 -0.766 3.717
Ba 5.039 -5.492 4.082
Te 3.452 -6.187 1.079
```

Summary:
The volume is 657 Å³/cell. As for the uncorrected formation energy: -11.21 eV per formula unit.

---

[8]
YTaW2: optimized geometry, PBE.

The structure in extended XYZ format:
```
4
Lattice="3.295 0.000 0.000 0.000 3.295 0.000 0.000 0.000 7.233" Properties=species:S:1:pos:R:3 pbc="T T T"
Y 1.647 1.647 1.808
W 0.000 0.000 3.935
W 0.000 0.000 6.915
Ta 1.647 1.647 5.425
```

Summary:
The volume is 79 Å³/cell. The calculation puts the formation energy at 8.97 kcal/mol of atoms.

---

[9]
HoEr2Cu: optimized geometry, PBE.

The structure in extended XYZ format:
```
4
Lattice="3.613 0.000 0.000 1.807 3.129 0.000 1.807 1.043 9.593" Properties=species:S:1:pos:R:3 pbc="T T T"
Ho 3.613 2.086 4.776
Cu 3.613 2.086 0.017
Er 1.807 1.043 1.944
Er 1.807 1.043 7.652
```

Summary:
The volume is 108 Å³/cell. The calculation puts the formation energy at 0.46 kcal/mol of atoms.

---

[10]
MnSnPd: optimized geometry, PBE.

The structure in extended XYZ format:
```
3
Lattice="3.503 0.000 0.000 0.000 3.503 0.000 -1.751 -1.751 4.290" Properties=species:S:1:pos:R:3 pbc="T T T"
Pd 0.000 0.000 2.373
Sn 1.751 1.751 3.850
Mn 1.751 1.751 1.070
```

Summary:
The volume is 53 Å³/cell. The calculation puts the formation energy at -3.24 kcal/mol of atoms.

---

[11]
TlBPd2: optimized geometry, PBE.

The structure in extended XYZ format:
```
4
Lattice="1.128 -3.387 2.664 -2.395 -0.849 3.658 -2.566 -3.636 0.188" Properties=species:S:1:pos:R:3 pbc="T T T"
B 0.000 0.000 0.000
Pd -2.874 -5.904 4.883
Pd -0.958 -1.968 1.628
Tl -1.916 -3.936 3.255
```

Summary:
The volume is 62 Å³/cell. The calculation puts the formation energy at 14.03 kcal/mol of atoms.

---

[12]
Al2Rh2N: optimized geometry, PBE.

The structure in extended XYZ format:
```
10
Lattice="6.741 0.000 0.000 0.000 6.741 0.000 0.000 0.000 3.063" Properties=species:S:1:pos:R:3 pbc="T T T"
Al 4.345 5.766 1.532
Rh 4.427 1.056 0.000
Rh 1.056 2.314 0.000
N 0.000 0.000 0.000
Rh 2.314 5.684 0.000
Al 2.396 0.975 1.532
N 3.370 3.370 0.000
Al 0.975 4.345 1.532
Al 5.766 2.396 1.532
Rh 5.684 4.427 0.000
```

Summary:
The volume is 139 Å³/cell. As for the uncorrected formation energy: 1.19 eV per formula unit.